[1]
# La4Pr2Tl3 (GGA-PBE, optimized geometry)
# - ρ: 8.02 g/cm3
# - E_tot: -152.208 eV for the cell shown
data_La4Pr2Tl3
_chemical_formula_sum 'La16 Pr8 Tl12'
_space_group_name_H-M_alt 'C 1 2/c 1'
_space_group_IT_number 15
_space_group_name_Hall '-C 2yc'
_cell_length_a 10.5327
_cell_length_b 9.7781
_cell_length_c 12.3728
_cell_angle_alpha 90.00
_cell_angle_beta 109.42
_cell_angle_gamma 90.00
loop_
_atom_site_label
_atom_site_type_symbol
_atom_site_fract_x
_atom_site_fract_y
_atom_site_fract_z
La1 La 0.0396 0.1534 0.1264
La2 La 0.1778 0.4697 0.5674
Pr1 Pr 0.1094 0.2467 0.8712
Tl1 Tl 0.0000 0.4600 0.2500
Tl2 Tl 0.2096 0.1492 0.6517



[2]
# TeMoWS3 (GGA-PBE, optimized geometry)
# - ρ: 6.31 g/cm3
# - Energy above the most stable polymorph in this dataset: 0.000 eV per atom
# - Raw formation energy: -0.64 eV per atom
# - E_tot: -86.318 eV for the cell shown
data_TeMoWS3
_chemical_formula_sum 'Te2 Mo2 W2 S6'
_space_group_name_H-M_alt 'P 3 m 1'
_space_group_IT_number 156
_space_group_name_Hall 'P 3 -2"'
_cell_length_a 3.2709
_cell_length_b 3.2709
_cell_length_c 28.6182
_cell_angle_alpha 90.00
_cell_angle_beta 90.00
_cell_angle_gamma 120.00
loop_
_atom_site_label
_atom_site_type_symbol
_atom_site_fract_x
_atom_site_fract_y
_atom_site_fract_z
Te1 Te 0.0000 0.0000 0.0000
Te2 Te 0.0000 0.0000 0.1349
Mo1 Mo 0.0000 0.0000 0.3251
Mo2 Mo 0.3333 0.6667 0.0675
W1 W 0.0000 0.0000 0.8098
W2 W 0.3333 0.6667 0.5691
S1 S 0.0000 0.0000 0.5151
S2 S 0.0000 0.0000 0.6231
S3 S 0.3333 0.6667 0.2714
S4 S 0.3333 0.6667 0.3788
S5 S 0.3333 0.6667 0.7558
S6 S 0.3333 0.6667 0.8637



[3]
# TbZrGaHg (GGA-PBE, optimized geometry)
# - ρ: 9.60 g/cm3
# - E_tot: -71.707 eV for the cell shown
data_TbZrGaHg
_chemical_formula_sum 'Tb4 Zr4 Ga4 Hg4'
_space_group_name_H-M_alt 'F -4 3 m'
_space_group_IT_number 216
_space_group_name_Hall 'F -4 2 3'
_cell_length_a 7.1138
_cell_length_b 7.1138
_cell_length_c 7.1138
_cell_angle_alpha 90.00
_cell_angle_beta 90.00
_cell_angle_gamma 90.00
loop_
_atom_site_label
_atom_site_type_symbol
_atom_site_fract_x
_atom_site_fract_y
_atom_site_fract_z
Tb1 Tb 0.0000 0.0000 0.0000
Zr1 Zr 0.0000 0.0000 0.5000
Ga1 Ga 0.2500 0.2500 0.7500
Hg1 Hg 0.2500 0.2500 0.2500



[4]
# CsTl3In2 (GGA-PBE, optimized geometry)
# - ρ: 7.28 g/cm3
# - E_tot: -54.916 eV for the cell shown
data_CsTl3In2
_chemical_formula_sum 'Cs4 Tl12 In8'
_space_group_name_H-M_alt 'C m c m'
_space_group_IT_number 63
_space_group_name_Hall '-C 2c 2'
_cell_length_a 13.6571
_cell_length_b 10.1944
_cell_length_c 6.3976
_cell_angle_alpha 90.00
_cell_angle_beta 90.00
_cell_angle_gamma 90.00
loop_
_atom_site_label
_atom_site_type_symbol
_atom_site_fract_x
_atom_site_fract_y
_atom_site_fract_z
Cs1 Cs 0.0000 0.1681 0.2500
Tl1 Tl 0.0000 0.4405 0.7500
Tl2 Tl 0.1743 0.2175 0.7500
In1 In 0.2087 0.5000 0.0000



- Which of these has the lowest E_tot?
  La4Pr2Tl3